Entry 1:
Entry from the Alexandria database: a relaxed structure of Sr2MgIn5Pd2 (PBE).

Summary:
space group	P4/mbm
energy relative to the elements	-0.46	eV/atom

Cell lengths 4.394, 10.634, 10.634 Å; angles 90.00, 90.00, 90.00 degrees
Fractional positions:
Pd: 0.000 0.114 0.614
Pd: 0.000 0.386 0.114
In: 0.500 0.207 0.060
Pd: 0.000 0.614 0.886
In: 0.500 0.500 0.000
Sr: 0.000 0.181 0.319
In: 0.500 0.940 0.207
In: 0.500 0.000 0.500
In: 0.500 0.440 0.293
Sr: 0.000 0.819 0.681
In: 0.500 0.060 0.793
In: 0.500 0.707 0.440
Sr: 0.000 0.681 0.181
In: 0.500 0.293 0.560
In: 0.500 0.793 0.940
Mg: 0.000 0.000 0.000
In: 0.500 0.560 0.707
Mg: 0.000 0.500 0.500
Sr: 0.000 0.319 0.819
Pd: 0.000 0.886 0.386

Entry 2:
Entry from the Alexandria database: a relaxed structure of PmMg2In2Au2 (PBE).

Summary:
space group	R-3m
energy relative to the elements	-0.43	eV/atom

Cell lengths 4.651, 4.651, 8.871 Å; angles 74.80, 74.80, 60.00 degrees
Fractional positions:
In: 0.737 0.737 0.789
Au: 0.439 0.439 0.682
Au: 0.561 0.561 0.318
Mg: 0.138 0.138 0.587
Pm: 0.000 0.000 0.000
Mg: 0.862 0.862 0.413
In: 0.263 0.263 0.211

Entry 3:
Entry from the Alexandria database: a relaxed structure of LiHoAu2 (PBE).

Summary:
energy relative to the lowest polymorph listed for this composition	0.013	eV/atom
space group	P4/mmm
energy relative to the elements	-0.71	eV/atom

Cell lengths 3.522, 3.522, 6.342 Å; angles 90.00, 90.00, 90.00 degrees
Fractional positions:
Au: 0.000 0.000 0.773
Ho: 0.500 0.500 0.500
Au: 0.000 0.000 0.227
Li: 0.500 0.500 0.000

Entry 4:
Entry from the Alexandria database: a relaxed structure of CaNi2Sn4 (PBE).

Summary:
space group	Pnma
energy relative to the elements	-0.34	eV/atom

Cell lengths 4.384, 7.207, 18.601 Å; angles 90.00, 90.00, 90.00 degrees
Fractional positions:
Ni: 0.750 0.254 0.963
Ca: 0.250 0.007 0.358
Sn: 0.250 0.363 0.030
Sn: 0.250 0.007 0.932
Sn: 0.750 0.863 0.470
Ni: 0.250 0.977 0.787
Ca: 0.750 0.993 0.642
Ni: 0.750 0.246 0.463
Ni: 0.250 0.746 0.037
Sn: 0.750 0.307 0.320
Sn: 0.750 0.193 0.820
Sn: 0.750 0.993 0.068
Ni: 0.750 0.023 0.213
Sn: 0.750 0.772 0.802
Ca: 0.250 0.493 0.858
Sn: 0.750 0.728 0.302
Sn: 0.250 0.228 0.198
Ni: 0.250 0.523 0.287
Ca: 0.750 0.507 0.142
Sn: 0.250 0.272 0.698
Sn: 0.250 0.137 0.530
Sn: 0.250 0.807 0.180
Ni: 0.250 0.754 0.537
Sn: 0.750 0.507 0.568
Ni: 0.750 0.477 0.713
Sn: 0.250 0.493 0.432
Sn: 0.750 0.637 0.970
Sn: 0.250 0.693 0.680

Entry 5:
Entry from the Alexandria database: a relaxed structure of Pm7PrAl4 (PBE).

Summary:
space group	P-1
energy relative to the elements	-0.18	eV/atom

Cell lengths 6.327, 10.516, 6.741 Å; angles 72.83, 87.38, 55.53 degrees
Fractional positions:
Al: 0.523 0.246 0.583
Pm: 0.500 0.000 0.000
Al: 0.449 0.258 0.181
Pm: 0.024 0.602 0.237
Al: 0.551 0.742 0.819
Pm: 0.354 0.532 0.764
Pm: 0.646 0.468 0.236
Pm: 0.976 0.398 0.763
Pm: 0.822 0.903 0.521
Pm: 0.178 0.097 0.479
Pr: 0.000 0.000 0.000
Al: 0.477 0.754 0.417

Entry 6:
Entry from the Alexandria database: a relaxed structure of Ti6FeNi5 (PBE).

Summary:
space group	P2/m
energy relative to the elements	-0.36	eV/atom

Cell lengths 4.439, 5.709, 6.744 Å; angles 90.00, 108.83, 90.00 degrees
Fractional positions:
Ti: 0.865 0.752 0.667
Ti: 0.500 0.754 0.000
Ni: 0.000 0.500 0.000
Ni: 0.398 0.000 0.669
Ti: 0.135 0.248 0.333
Ni: 0.606 0.500 0.329
Ni: 0.602 0.000 0.331
Ti: 0.865 0.247 0.667
Ni: 0.394 0.500 0.671
Fe: 0.000 0.000 0.000
Ti: 0.500 0.246 0.000
Ti: 0.135 0.753 0.333

Entry 7:
Entry from the Alexandria database: a relaxed structure of GaAsPbBr2 (PBE).

Summary:
energy relative to the lowest polymorph listed for this composition	0.141	eV/atom
space group	P4/mmm
raw formation energy	7	kJ/mol of atoms

Cell lengths 5.894, 5.894, 5.657 Å; angles 90.00, 90.00, 90.00 degrees
Last column: magnetic moment on the atom in μB.
Fractional positions:
Br: 0.500 0.000 0.000  0.06
Br: 0.000 0.500 0.000  0.06
As: 0.000 0.000 0.500  0.63
Pb: 0.000 0.000 0.000  0.06
Ga: 0.500 0.500 0.500  0.00

Entry 8:
Entry from the Alexandria database: a relaxed structure of LaHoCuSi (PBE).

Summary:
space group	F-43m
raw formation energy	-38	kJ/mol of atoms

Cell lengths 5.066, 5.066, 5.066 Å; angles 60.00, 60.00, 60.00 degrees
Fractional positions:
Cu: 0.250 0.250 0.250
La: 0.500 0.500 0.500
Ho: 0.000 0.000 0.000
Si: 0.750 0.750 0.750